(1)
VASP calculation (PBE-GGA) on Ba3EuP after structural relaxation.

POSCAR file:
```
Ba3EuP
1.0
-1.954 -0.927 6.034
-5.245 -2.986 -2.157
3.123 -5.595 0.151
P Ba Eu
1 3 1
Direct
0.000 0.000 0.000
0.500 0.000 0.000
0.000 0.000 0.500
0.000 0.500 0.000
0.500 0.500 0.500
```

Properties
The value obtained for the energy of formation is -8.8 kcal/mol of atoms. The space group is Pm-3m. The density of states at the Fermi level comes out at 1.01 states/eV per atom. The calculated density comes out at 3.751 Mg/m³. The calculated volume comes out at 263 Å³ per cell.


(2)
VASP calculation (PBE-GGA) on BaEu2P after structural relaxation.

POSCAR file:
```
BaEu2P
1.0
-0.403 1.282 3.560
2.236 -2.808 1.264
8.088 5.897 -1.210
Ba P Eu
1 1 2
Direct
0.500 0.500 0.500
0.500 0.500 0.000
0.000 0.000 0.152
0.000 0.000 0.848
```

Properties
The value obtained for the energy of formation is -12.2 kcal/mol of atoms. The space group is P4/mmm. Its energy above the most stable polymorph in this dataset is 27 meV/atom. The density of states at the Fermi level comes out at 1.13 states/eV per atom. The calculated density comes out at 5.371 Mg/m³. The calculated volume comes out at 146 Å³ per cell.